VASP calculation (PBE) on an optimized crystal structure of TiAg2OsRh.

Structure (POSCAR):
```
TiAg2OsRh
1.0
4.930 0.000 0.000
0.000 4.930 0.000
0.000 0.000 4.375
Ti Ag Os Rh
1 2 1 1
direct
0.000 0.000 0.000 Ti
0.000 0.500 0.500 Ag
0.500 0.000 0.500 Ag
0.500 0.500 0.000 Os
0.000 0.000 0.500 Rh
```

Summary:
- space group = P4/mmm, No. 123
- Fermi-level density of states (states/eV per atom) = 1.187
- total energy (eV/atom) = -4.95
- formation energy (eV per atom) = 1.482
- total magnetic moment (μB/cell) = 1.98